A geometry-optimized ScZnBi2 structure. Source: Alexandria, functional PBE-GGA.

Calculated values
Total magnetic moment ... 0.0 μB per formula unit
Mass density ... 8.7 g/cm³
Calculated volume ... 100.5 Å³/f.u.
Calculated total energy ... -16.19 eV/f.u.
ΔE_f ... -0.207 eV/atom

abc: 3.933 3.933 6.497
angles: 90.00 90.00 90.00
Fractional coordinates of all 4 atoms:
Sc (0.000, 0.000, 0.000)
Zn (0.000, 0.000, 0.500)
Bi (0.500, 0.500, 0.247)
Bi (0.500, 0.500, 0.753)